{"formula": "BeZn2B2Rh5", "functional": "GGA-PBE", "state": "relaxed", "cell": [[9.1678, 0.0000, 0.0000], [0.0000, 9.1678, 0.0000], [0.0000, 0.0000, 2.8388]], "species": ["Be", "Be", "Zn", "Zn", "Zn", "Zn", "B", "B", "B", "B", "Rh", "Rh", "Rh", "Rh", "Rh", "Rh", "Rh", "Rh", "Rh", "Rh"], "frac_coords": [[0.0000, 0.0000, 0.0000], [0.5000, 0.5000, 0.0000], [0.1758, 0.3242, 0.0000], [0.3242, 0.8242, 0.0000], [0.6758, 0.1758, 0.0000], [0.8242, 0.6758, 0.0000], [0.1317, 0.6317, 0.0000], [0.3683, 0.1317, 0.0000], [0.6317, 0.8683, 0.0000], [0.8683, 0.3683, 0.0000], [0.0000, 0.5000, 0.5000], [0.0712, 0.7948, 0.5000], [0.2052, 0.0712, 0.5000], [0.2948, 0.5712, 0.5000], [0.4288, 0.2948, 0.5000], [0.5000, 0.0000, 0.5000], [0.5712, 0.7052, 0.5000], [0.7052, 0.4288, 0.5000], [0.7948, 0.9288, 0.5000], [0.9288, 0.2052, 0.5000]], "delta_e_f_mev_per_atom": -454, "spacegroup": "P4/mbm"}